No. 1
DFT (PBE) results for K2SrTl4 after structural relaxation.

volume	1003.2	Å³/cell
total magnetic moment	0.00	μB/atom
calculated formation energy	-0.89	eV per formula unit

Unit cell a=22.6749 b=6.7805 c=6.5778 alpha=90.00 beta=97.26 gamma=90.00
With the nearest neighbours (Å) after each atom.
Space group C2/c (No. 15)
Inequivalent atoms, fractional coordinates:
K  0.1999  0.0851  0.1786 [8 per cell]  2 K 3.49, 6 Tl 3.54-3.88
Sr  0.0000  0.2872  0.2500 [4 per cell]  10 Tl 3.54-3.95
Tl  0.0701  0.1794  0.7954 [8 per cell]  3 Tl 3.16-3.33, 1 Sr 3.54
Tl  0.1465  0.4423  0.5189 [8 per cell]  4 Tl 3.21-3.38, 1 K 3.54

No. 2
DFT (PBE) results for Sr3LaPa2N6 after structural relaxation.

volume	422.2	Å³/cell
total magnetic moment	0.00	μB/atom
E_form (uncorrected)	-1.3174	eV per atom

Unit cell a=16.0150 b=3.6716 c=7.3857 alpha=90.00 beta=103.57 gamma=90.00
With the nearest neighbours (Å) after each atom.
Space group C2/m (No. 12)
Inequivalent atoms, fractional coordinates:
Sr  0.0000  0.0000  0.0000 [2 per cell]  6 N 2.67-2.83
Sr  0.1666  0.5000  0.3333 [4 per cell]  5 N 2.62-2.84
La  0.0000  0.0000  0.5000 [2 per cell]  6 N 2.59-2.61
Pa  0.1674  0.5000  0.8322 [4 per cell]  6 N 2.23-2.43
N  0.0244  0.5000  0.7542 [4 per cell]  1 Pa 2.23
N  0.1663  0.0000  0.6268 [4 per cell]  2 Pa 2.38, 1 La 2.61, 1 Sr 2.62
N  0.1811  0.0000  0.0535 [4 per cell]  3 Pa 2.37-2.43

No. 3
DFT (PBE) results for Ta2TiRe2 after structural relaxation.

volume	176.2	Å³/cell
total magnetic moment	0.00	μB/atom
calculated formation energy	0.91	eV per formula unit
offset from the most stable computed form	549	meV per atom

Unit cell a=7.4542 b=7.4542 c=3.1718 alpha=90.00 beta=90.00 gamma=90.00
With the nearest neighbours (Å) after each atom.
Space group P4/mbm (No. 127)
Inequivalent atoms, fractional coordinates:
Ta  0.1546  0.3454  0.0000 [4 per cell]  6 Re 2.64-2.74
Ti  0.0000  0.0000  0.5000 [2 per cell]  4 Re 2.86, 2 Ti 3.17
Re  0.1450  0.6450  0.5000 [4 per cell]  6 Ta 2.64-2.74, 2 Ti 2.86

| no. | energy (eV per cell) |
| --- | --- |
| 1 | -56.9 |
| 2 | -189.5 |
| 3 | -111.2 |